The following is a DFT calculation (GGA-PBE) of crystalline Si2OsW at its relaxed geometry.

a b c (Å): 2.864 3.894 5.158
angles (deg): 90.00 90.00 90.00
Atoms (fractional coordinates):
Si1 0.000 0.000 0.238
Si2 0.000 0.000 0.762
Os1 0.000 0.500 0.500
W1 0.500 0.500 0.000

Summary:
As for the space group: No. 47. The energy relative to the elements, uncorrected comes out at 0.01 eV/atom.

***

The following is a DFT calculation (GGA-PBE) of crystalline SiOs2W at its relaxed geometry.

a b c (Å): 2.839 3.926 5.244
angles (deg): 90.00 90.00 90.00
Atoms (fractional coordinates):
Si1 0.000 0.000 0.000
Os1 0.000 0.000 0.498
Os2 0.500 0.500 0.821
W1 0.500 0.500 0.290

Summary:
As for the space group: No. 25. The energy relative to the elements, uncorrected comes out at 0.04 eV/atom.

***

The following is a DFT calculation (GGA-PBE) of crystalline SiOs2W at its relaxed geometry.

a b c (Å): 5.138 5.138 4.419
angles (deg): 115.45 115.45 33.07
Atoms (fractional coordinates):
Si1 0.000 0.000 0.000
Os1 0.281 0.281 0.779
Os2 0.507 0.507 0.505
W1 0.734 0.734 0.232

Summary:
As for the space group: No. 8. The energy relative to the elements, uncorrected comes out at -0.04 eV/atom.

***

The following is a DFT calculation (GGA-PBE) of crystalline SiOs2W at its relaxed geometry.

a b c (Å): 2.780 2.780 8.406
angles (deg): 90.00 90.00 115.88
Atoms (fractional coordinates):
Si1 0.000 0.000 0.000
Os1 0.500 0.500 0.228
Os2 0.500 0.500 0.772
W1 0.000 0.000 0.500

Summary:
As for the space group: No. 65. The energy relative to the elements, uncorrected comes out at 0.28 eV/atom.

***

The following is a DFT calculation (GGA-PBE) of crystalline SiOsW at its relaxed geometry.

a b c (Å): 6.102 3.976 7.112
angles (deg): 90.00 90.00 90.00
Atoms (fractional coordinates):
Si1 0.241 0.250 0.117
Si2 0.259 0.750 0.617
Si3 0.741 0.250 0.383
Si4 0.759 0.750 0.883
Os1 0.148 0.750 0.936
Os2 0.352 0.250 0.436
Os3 0.648 0.750 0.564
Os4 0.852 0.250 0.064
W1 0.016 0.750 0.317
W2 0.484 0.250 0.817
W3 0.516 0.750 0.183
W4 0.984 0.250 0.683

Summary:
As for the space group: No. 62. The energy relative to the elements, uncorrected comes out at -0.17 eV/atom.

***

The following is a DFT calculation (GGA-PBE) of crystalline Si2OsW at its relaxed geometry.

a b c (Å): 2.752 2.752 8.315
angles (deg): 90.00 90.00 111.50
Atoms (fractional coordinates):
Si1 0.000 0.000 0.000
Si2 0.500 0.500 0.255
Os1 0.000 0.000 0.487
W1 0.500 0.500 0.753

Summary:
As for the space group: No. 35. The energy relative to the elements, uncorrected comes out at 0.33 eV/atom.

***

The following is a DFT calculation (GGA-PBE) of crystalline SiOs2W at its relaxed geometry.

a b c (Å): 4.584 4.584 4.584
angles (deg): 128.32 128.32 76.10
Atoms (fractional coordinates):
Si1 0.000 0.000 0.000
Os1 0.250 0.750 0.500
Os2 0.750 0.250 0.500
W1 0.500 0.500 0.000

Summary:
As for the space group: No. 139. The energy relative to the elements, uncorrected comes out at 0.08 eV/atom.

***

The following is a DFT calculation (GGA-PBE) of crystalline SiOsW at its relaxed geometry.

a b c (Å): 2.820 2.820 6.318
angles (deg): 90.00 90.00 120.00
Atoms (fractional coordinates):
Si1 0.000 0.000 0.000
Os1 0.667 0.333 0.685
W1 0.333 0.667 0.342

Summary:
As for the space group: No. 156. The energy relative to the elements, uncorrected comes out at 0.02 eV/atom.

***

Number 1: final energy -8.748 eV per atom, size of the total moment 0.00 μB per formula unit. Number 2: final energy -10.172 eV per atom, size of the total moment 0.00 μB per formula unit. Number 3: final energy -10.245 eV per atom, size of the total moment 0.00 μB per formula unit. Number 4: final energy -9.930 eV per atom, size of the total moment 0.00 μB per formula unit. Number 5: final energy -10.039 eV per atom, size of the total moment 0.00 μB per formula unit. Number 6: final energy -8.428 eV per atom, size of the total moment 0.00 μB per formula unit. Number 7: final energy -10.129 eV per atom, size of the total moment 0.00 μB per formula unit. Number 8: final energy -9.844 eV per atom, size of the total moment 0.00 μB per formula unit.